Run 1
PBE Mg2AgRu2, relaxed; ρ = 6923 kg/m3; calculated volume = 17.20 Å³/atom
1.0
-3.4359 -2.0690 -5.8960
-1.4599 -6.2765 3.0533
-2.8825 1.2707 1.2339
Ru Mg Ag
4 4 2
direct
0.3829 0.8829 0.0000
0.8829 0.6171 0.0000
0.6171 0.1171 0.0000
0.1171 0.3829 0.0000
0.1785 0.6785 0.5000
0.6785 0.8215 0.5000
0.8215 0.3215 0.5000
0.3215 0.1785 0.5000
0.0000 0.0000 0.0000
0.5000 0.5000 0.0000


Run 2
PBE Mg2AgRu2, relaxed; ρ = 6386 kg/m3; calculated volume = 18.65 Å³/atom
1.0
3.4990 0.0000 0.0000
0.0000 3.4990 0.0000
1.7495 1.7495 7.6163
Ru Mg Ag
2 2 1
direct
0.7500 0.2500 0.5000
0.2500 0.7500 0.5000
0.3959 0.3959 0.2082
0.6041 0.6041 0.7918
0.0000 0.0000 0.0000


Run 3
PBE Mg2AgRu2, relaxed; ρ = 6838 kg/m3; calculated volume = 17.42 Å³/atom
1.0
-3.2455 1.1271 -7.0027
5.9016 -3.8427 -3.3537
-1.4441 -2.4568 0.2739
Ru Mg Ag
4 4 2
direct
0.1095 0.6095 0.5000
0.6095 0.8905 0.5000
0.8905 0.3905 0.5000
0.3905 0.1095 0.5000
0.3184 0.8184 0.0000
0.8184 0.6816 0.0000
0.6816 0.1816 0.0000
0.1816 0.3184 0.0000
0.0000 0.0000 0.0000
0.5000 0.5000 0.0000


Going by the energies, run 1 is most stable and the next is 3.4 kJ/mol of atoms up.


Run 1
PBE MgAgRuSe2, relaxed; ρ = 5462 kg/m3; calculated volume = 23.78 Å³/atom
1.0
-4.4571 -0.6977 1.9841
2.0847 -1.1613 4.2746
-0.1386 4.7366 1.3544
Ru Mg Se Ag
1 1 2 1
direct
0.0000 0.5000 0.0000
0.0000 0.0000 0.0000
0.0000 0.0000 0.5000
0.5000 0.0000 0.0000
0.5000 0.5000 0.5000


Run 2
PBE MgAgRuSe2, relaxed; ρ = 5627 kg/m3; calculated volume = 23.09 Å³/atom
1.0
4.8282 0.0000 0.0000
0.0000 4.9519 0.0000
0.0000 0.0000 4.8282
Ru Mg Se Ag
1 1 2 1
direct
0.0000 0.0000 0.0000
0.0000 0.5000 0.0000
0.0000 0.0000 0.5000
0.5000 0.0000 0.0000
0.5000 0.5000 0.5000


Going by the energies, run 2 is most stable and the next is 55.8 kJ/mol of atoms up.


Run 1
PBE Mg2Ag2S, relaxed; ρ = 4866 kg/m3; calculated volume = 20.23 Å³/atom
1.0
-6.1320 -1.3514 -2.4105
0.4560 -6.2812 2.3614
-1.8121 1.3227 3.8682
S Mg Ag
2 4 4
direct
0.0000 0.0000 0.0000
0.5000 0.5000 0.0000
0.3408 0.8408 0.0000
0.8408 0.6592 0.0000
0.6592 0.1592 0.0000
0.1592 0.3408 0.0000
0.1420 0.6420 0.5000
0.6420 0.8580 0.5000
0.8580 0.3580 0.5000
0.3580 0.1420 0.5000


Run 2
PBE Mg2Ag2S, relaxed; ρ = 4757 kg/m3; calculated volume = 20.70 Å³/atom
1.0
3.6978 0.0000 0.0000
0.0000 3.6978 0.0000
1.8489 1.8489 7.5677
S Mg Ag
1 2 2
direct
0.0000 0.0000 0.0000
0.4014 0.4014 0.1972
0.5986 0.5986 0.8028
0.7500 0.2500 0.5000
0.2500 0.7500 0.5000


Going by the energies, run 2 is most stable and the next is 3.5 kJ/mol of atoms up.


Run 1
PBE MgAg3S, relaxed; ρ = 5258 kg/m3; calculated volume = 24.00 Å³/atom
1.0
4.9323 0.0000 0.0000
0.0000 4.9323 0.0000
0.0000 0.0000 4.9323
S Mg Ag
1 1 3
direct
0.0000 0.0000 0.0000
0.5000 0.5000 0.5000
0.0000 0.5000 0.0000
0.0000 0.0000 0.5000
0.5000 0.0000 0.0000


Run 2
PBE MgAg3S, relaxed; ρ = 5306 kg/m3; calculated volume = 23.78 Å³/atom
1.0
4.9175 0.0000 0.0000
0.0000 4.9175 0.0000
0.0000 0.0000 4.9175
S Mg Ag
1 1 3
direct
0.5000 0.5000 0.5000
0.0000 0.0000 0.0000
0.0000 0.5000 0.0000
0.0000 0.0000 0.5000
0.5000 0.0000 0.0000


Going by the energies, run 1 is most stable and the next is 47.5 kJ/mol of atoms up.


Run 1
PBE MgAg2S, relaxed; ρ = 6111 kg/m3; calculated volume = 18.48 Å³/atom
1.0
0.0000 3.3312 3.3312
3.3312 0.0000 3.3312
3.3312 3.3312 0.0000
S Mg Ag
1 1 2
direct
0.5000 0.5000 0.5000
0.0000 0.0000 0.0000
0.2500 0.2500 0.2500
0.7500 0.7500 0.7500


Run 2
PBE MgAg2S, relaxed; ρ = 5752 kg/m3; calculated volume = 19.64 Å³/atom
1.0
3.8034 0.0000 0.0000
0.0000 3.8034 0.0000
1.9017 1.9017 10.8610
S Mg Ag
2 2 4
direct
0.0000 0.0000 0.0000
0.7500 0.2500 0.5000
0.5000 0.5000 0.0000
0.2500 0.7500 0.5000
0.6238 0.1250 0.2500
0.1262 0.6250 0.2500
0.3750 0.3762 0.7500
0.8750 0.8738 0.7500


Going by the energies, run 2 is most stable and the next is 21.0 kJ/mol of atoms up.


Run 1
PBE MgAg6Sb, relaxed; ρ = 7411 kg/m3; calculated volume = 22.22 Å³/atom
1.0
-0.8400 5.2988 -1.7858
-5.3073 0.4576 1.8962
1.3061 2.5158 4.8925
Mg Ag Sb
1 6 1
direct
0.5000 0.5000 0.5000
0.1643 0.5310 0.1643
0.1643 0.1643 0.5310
0.8357 0.4690 0.8357
0.4690 0.8357 0.8357
0.8357 0.8357 0.4690
0.5310 0.1643 0.1643
0.0000 0.0000 0.0000


Run 2
PBE MgAg6Sb, relaxed; ρ = 8701 kg/m3; calculated volume = 18.92 Å³/atom
1.0
-2.5820 -2.4415 -2.1017
4.6925 -3.3143 -1.9149
-0.5515 -3.5887 4.8464
Mg Ag Sb
1 6 1
direct
0.5000 0.5000 0.5000
0.0000 0.7420 0.2580
0.0000 0.2580 0.7420
0.0000 0.7418 0.7418
0.0000 0.2582 0.2582
0.5000 0.5000 0.0000
0.5000 0.0000 0.5000
0.5000 0.0000 0.0000


Going by the energies, run 2 is most stable and the next is 17.8 kJ/mol of atoms up.


Run 1
PBE MgAgSb, relaxed; ρ = 6135 kg/m3; calculated volume = 22.91 Å³/atom
1.0
-4.6321 4.6321 6.4063
4.6321 -4.6321 6.4063
4.6321 4.6321 -6.4063
Mg Ag Sb
8 8 8
direct
0.4099 0.1095 0.7483
0.3613 0.6616 0.2517
0.8613 0.6095 0.6997
0.9099 0.1616 0.3003
0.8905 0.6387 0.3003
0.3384 0.5901 0.6997
0.3905 0.0901 0.2517
0.8384 0.1387 0.7483
0.2500 0.2500 0.0000
0.7500 0.7500 0.0000
0.5000 0.5000 0.0000
0.0000 0.0000 0.0000
0.0260 0.0260 0.5519
0.4740 0.4740 0.4481
0.9740 0.5260 0.0000
0.5260 0.9740 0.0000
0.1528 0.9071 0.2913
0.6158 0.8615 0.7087
0.1158 0.4071 0.7543
0.6528 0.3615 0.2457
0.0929 0.3842 0.2457
0.1385 0.8472 0.7543
0.5929 0.3472 0.7087
0.6385 0.8842 0.2913


Run 2
PBE MgAgSb, relaxed; ρ = 6331 kg/m3; calculated volume = 22.20 Å³/atom
1.0
-3.3247 4.5263 3.9639
-5.6857 2.7806 2.6832
-0.3552 -1.5588 2.7760
Ag Mg Sb
1 1 1
direct
0.9856 0.9856 0.0144
0.3503 0.3503 0.6497
0.6641 0.6641 0.3359


Going by the energies, run 1 is most stable and the next is 16.9 kJ/mol of atoms up.


Run 1
PBE MgAg2Sb2, relaxed; ρ = 6695 kg/m3; calculated volume = 23.99 Å³/atom
1.0
-0.5682 -5.5372 5.7788
7.1602 2.2368 2.8473
-1.6604 2.4882 2.2209
Sb Mg Ag
4 2 4
direct
0.3255 0.8255 0.0000
0.8255 0.6745 0.0000
0.6745 0.1745 0.0000
0.1745 0.3255 0.0000
0.0000 0.0000 0.0000
0.5000 0.5000 0.0000
0.1263 0.6263 0.5000
0.6263 0.8737 0.5000
0.8737 0.3737 0.5000
0.3737 0.1263 0.5000


Run 2
PBE MgAg2Sb2, relaxed; ρ = 6359 kg/m3; calculated volume = 25.26 Å³/atom
1.0
4.3286 0.0000 0.0000
0.0000 4.3286 0.0000
2.1643 2.1643 6.7397
Sb Mg Ag
2 1 2
direct
0.7500 0.2500 0.5000
0.2500 0.7500 0.5000
0.0000 0.0000 0.0000
0.4019 0.4019 0.1962
0.5981 0.5981 0.8038


Going by the energies, run 1 is most stable and the next is 6.5 kJ/mol of atoms up.


Run 1
PBE MgAg2Sb2, relaxed; ρ = 6685 kg/m3; calculated volume = 24.02 Å³/atom
1.0
3.8763 0.0000 0.0000
0.0000 3.8763 0.0000
1.9382 1.9382 7.9939
Sb Mg Ag
2 1 2
direct
0.3921 0.3921 0.2158
0.6079 0.6079 0.7842
0.0000 0.0000 0.0000
0.7500 0.2500 0.5000
0.2500 0.7500 0.5000


Run 2
PBE MgAg2Sb2, relaxed; ρ = 7001 kg/m3; calculated volume = 22.94 Å³/atom
1.0
-3.1271 -4.7905 -4.8894
-4.0709 -3.0200 5.5625
-2.9618 2.6676 -0.7193
Sb Mg Ag
4 2 4
direct
0.1749 0.6749 0.5000
0.6749 0.8251 0.5000
0.8251 0.3251 0.5000
0.3251 0.1749 0.5000
0.0000 0.0000 0.0000
0.5000 0.5000 0.0000
0.3683 0.8683 0.0000
0.8683 0.6317 0.0000
0.6317 0.1317 0.0000
0.1317 0.3683 0.0000


Going by the energies, run 2 is most stable and the next is 1.2 kJ/mol of atoms up.


Run 1
PBE Mg2Ag2Sb, relaxed; ρ = 5725 kg/m3; calculated volume = 22.40 Å³/atom
1.0
3.8982 0.0000 0.0000
0.0000 3.8982 0.0000
1.9491 1.9491 7.3702
Sb Mg Ag
1 2 2
direct
0.0000 0.0000 0.0000
0.3965 0.3965 0.2070
0.6035 0.6035 0.7930
0.7500 0.2500 0.5000
0.2500 0.7500 0.5000


Run 2
PBE Mg2Ag2Sb, relaxed; ρ = 6186 kg/m3; calculated volume = 20.73 Å³/atom
1.0
7.9905 0.0000 0.0000
0.0000 7.9905 0.0000
0.0000 0.0000 3.2466
Sb Mg Ag
2 4 4
direct
0.0000 0.0000 0.0000
0.5000 0.5000 0.0000
0.1649 0.6649 0.5000
0.6649 0.8351 0.5000
0.8351 0.3351 0.5000
0.3351 0.1649 0.5000
0.3710 0.8710 0.0000
0.8710 0.6290 0.0000
0.6290 0.1290 0.0000
0.1290 0.3710 0.0000


Run 3
PBE Mg2Ag2Sb, relaxed; ρ = 5840 kg/m3; calculated volume = 21.96 Å³/atom
1.0
-3.1694 2.5297 -0.6250
-2.5917 -3.1626 0.3418
-3.3112 0.7306 6.2807
Sb Mg Ag
1 2 2
direct
0.0000 0.0000 0.0000
0.7500 0.2500 0.5000
0.2500 0.7500 0.5000
0.3946 0.3946 0.2108
0.6054 0.6054 0.7892


Going by the energies, run 2 is most stable and the next is 7.9 kJ/mol of atoms up.


Run 1
PBE Mg3Sc2Ag2, relaxed; ρ = 4102 kg/m3; calculated volume = 21.89 Å³/atom
1.0
-4.2422 -0.6229 0.0170
2.2221 -0.2389 5.0508
-1.0254 6.9848 0.0359
Mg Sc Ag
3 2 2
direct
0.3044 0.6089 0.1403
0.0000 0.0000 0.0000
0.6956 0.3911 0.8597
0.6210 0.2420 0.3567
0.3790 0.7580 0.6433
0.0975 0.1951 0.6480
0.9025 0.8049 0.3520


Run 2
PBE Mg3Sc2Ag2, relaxed; ρ = 4176 kg/m3; calculated volume = 21.51 Å³/atom
1.0
3.3121 0.0000 -0.3996
0.0000 3.1865 0.0000
0.0403 0.0000 14.2590
Mg Sc Ag
3 2 2
direct
0.4235 0.5000 0.8470
0.5765 0.5000 0.1530
0.0000 0.0000 0.0000
0.2990 0.5000 0.5980
0.7010 0.5000 0.4020
0.1362 0.0000 0.2723
0.8638 0.0000 0.7277


Going by the energies, run 1 is most stable and the next is 3.3 kJ/mol of atoms up.